one) Tc2BN | PBE-GGA | relaxed

Geometry as CIF:
```
data_Tc2BN
_cell_length_a 3.8299
_cell_length_b 3.8299
_cell_length_c 3.8299
_cell_angle_alpha 60.00
_cell_angle_beta 60.00
_cell_angle_gamma 60.00
_space_group_name_H-M_alt 'P 1'
_space_group_IT_number 1
loop_
_space_group_symop_operation_xyz
'x,y,z'
loop_
_atom_site_label
_atom_site_type_symbol
_atom_site_fract_x
_atom_site_fract_y
_atom_site_fract_z
B1 B 0.0000 0.0000 0.0000
Tc1 Tc 0.2500 0.2500 0.2500
Tc2 Tc 0.7500 0.7500 0.7500
N1 N 0.5000 0.5000 0.5000
```

Fermi-level density of states	2.81	states/eV/f.u.
size of the total moment	0.0	μB per cell
space-group type	No. 225

two) Tc2BN | PBE-GGA | relaxed

Geometry as CIF:
```
data_Tc2BN
_cell_length_a 4.6439
_cell_length_b 4.6439
_cell_length_c 5.7575
_cell_angle_alpha 66.22
_cell_angle_beta 66.22
_cell_angle_gamma 90.00
_space_group_name_H-M_alt 'P 1'
_space_group_IT_number 1
loop_
_space_group_symop_operation_xyz
'x,y,z'
loop_
_atom_site_label
_atom_site_type_symbol
_atom_site_fract_x
_atom_site_fract_y
_atom_site_fract_z
B1 B 0.5000 0.5000 0.0000
B2 B 0.2500 0.7500 0.5000
Tc1 Tc 0.6436 0.1250 0.2500
Tc2 Tc 0.1064 0.6250 0.2500
Tc3 Tc 0.3750 0.3564 0.7500
Tc4 Tc 0.8750 0.8936 0.7500
N1 N 0.0000 0.0000 0.0000
N2 N 0.7500 0.2500 0.5000
```

Fermi-level density of states	1.65	states/eV/f.u.
size of the total moment	4.0	μB per cell
space-group type	No. 122

Winner for stability: two)

one) BTe2N2 | PBE-GGA | relaxed

Geometry as CIF:
```
data_BTe2N2
_cell_length_a 4.0067
_cell_length_b 4.0067
_cell_length_c 4.5771
_cell_angle_alpha 90.00
_cell_angle_beta 90.00
_cell_angle_gamma 90.00
_space_group_name_H-M_alt 'P 1'
_space_group_IT_number 1
loop_
_space_group_symop_operation_xyz
'x,y,z'
loop_
_atom_site_label
_atom_site_type_symbol
_atom_site_fract_x
_atom_site_fract_y
_atom_site_fract_z
B1 B 0.0000 0.0000 0.0000
Te1 Te 0.5000 0.5000 0.5000
Te2 Te 0.0000 0.0000 0.5000
N1 N 0.0000 0.5000 0.0000
N2 N 0.5000 0.0000 0.0000
```

Fermi-level density of states	2.57	states/eV/f.u.
size of the total moment	1.5	μB per cell
space-group type	No. 123

two) BTe2N2 | PBE-GGA | relaxed

Geometry as CIF:
```
data_BTe2N2
_cell_length_a 5.2646
_cell_length_b 5.2646
_cell_length_c 2.8371
_cell_angle_alpha 90.00
_cell_angle_beta 90.00
_cell_angle_gamma 90.00
_space_group_name_H-M_alt 'P 1'
_space_group_IT_number 1
loop_
_space_group_symop_operation_xyz
'x,y,z'
loop_
_atom_site_label
_atom_site_type_symbol
_atom_site_fract_x
_atom_site_fract_y
_atom_site_fract_z
B1 B 0.0000 0.0000 0.0000
Te1 Te 0.0000 0.5000 0.0000
Te2 Te 0.5000 0.0000 0.0000
N1 N 0.5000 0.5000 0.5000
N2 N 0.0000 0.0000 0.5000
```

Fermi-level density of states	2.69	states/eV/f.u.
size of the total moment	0.1	μB per cell
space-group type	No. 123

three) BTe2N2 | PBE-GGA | relaxed

Geometry as CIF:
```
data_BTe2N2
_cell_length_a 3.8548
_cell_length_b 3.8548
_cell_length_c 6.8996
_cell_angle_alpha 90.00
_cell_angle_beta 90.00
_cell_angle_gamma 90.00
_space_group_name_H-M_alt 'P 1'
_space_group_IT_number 1
loop_
_space_group_symop_operation_xyz
'x,y,z'
loop_
_atom_site_label
_atom_site_type_symbol
_atom_site_fract_x
_atom_site_fract_y
_atom_site_fract_z
B1 B 0.5000 0.5000 0.5000
Te1 Te 0.0000 0.0000 0.0000
Te2 Te 0.0000 0.0000 0.5000
N1 N 0.0000 0.5000 0.0000
N2 N 0.5000 0.0000 0.0000
```

Fermi-level density of states	0.59	states/eV/f.u.
size of the total moment	0.0	μB per cell
space-group type	No. 123

Winner for stability: two)

one) B2TeN | PBE-GGA | relaxed

Geometry as CIF:
```
data_B2TeN
_cell_length_a 4.8527
_cell_length_b 4.8527
_cell_length_c 5.0801
_cell_angle_alpha 61.47
_cell_angle_beta 61.47
_cell_angle_gamma 90.00
_space_group_name_H-M_alt 'P 1'
_space_group_IT_number 1
loop_
_space_group_symop_operation_xyz
'x,y,z'
loop_
_atom_site_label
_atom_site_type_symbol
_atom_site_fract_x
_atom_site_fract_y
_atom_site_fract_z
B1 B 0.5049 0.1250 0.2500
B2 B 0.2451 0.6250 0.2500
B3 B 0.3750 0.4951 0.7500
B4 B 0.8750 0.7549 0.7500
Te1 Te 0.0000 0.0000 0.0000
Te2 Te 0.7500 0.2500 0.5000
N1 N 0.5000 0.5000 0.0000
N2 N 0.2500 0.7500 0.5000
```

Fermi-level density of states	1.12	states/eV/f.u.
size of the total moment	0.0	μB per cell
space-group type	No. 122

two) B2TeN | PBE-GGA | relaxed

Geometry as CIF:
```
data_B2TeN
_cell_length_a 4.0515
_cell_length_b 4.0515
_cell_length_c 4.0515
_cell_angle_alpha 60.00
_cell_angle_beta 60.00
_cell_angle_gamma 60.00
_space_group_name_H-M_alt 'P 1'
_space_group_IT_number 1
loop_
_space_group_symop_operation_xyz
'x,y,z'
loop_
_atom_site_label
_atom_site_type_symbol
_atom_site_fract_x
_atom_site_fract_y
_atom_site_fract_z
B1 B 0.2500 0.2500 0.2500
B2 B 0.7500 0.7500 0.7500
Te1 Te 0.5000 0.5000 0.5000
N1 N 0.0000 0.0000 0.0000
```

Fermi-level density of states	2.81	states/eV/f.u.
size of the total moment	0.0	μB per cell
space-group type	No. 225

Winner for stability: one)

one) BTeN2 | PBE-GGA | relaxed

Geometry as CIF:
```
data_BTeN2
_cell_length_a 5.1222
_cell_length_b 5.1222
_cell_length_c 5.1222
_cell_angle_alpha 44.47
_cell_angle_beta 44.47
_cell_angle_gamma 44.47
_space_group_name_H-M_alt 'P 1'
_space_group_IT_number 1
loop_
_space_group_symop_operation_xyz
'x,y,z'
loop_
_atom_site_label
_atom_site_type_symbol
_atom_site_fract_x
_atom_site_fract_y
_atom_site_fract_z
B1 B 0.0000 0.0000 0.0000
Te1 Te 0.5000 0.5000 0.5000
N1 N 0.9022 0.9022 0.9022
N2 N 0.0978 0.0978 0.0978
```

Fermi-level density of states	1.13	states/eV/f.u.
size of the total moment	0.0	μB per cell
space-group type	No. 166

two) BTeN2 | PBE-GGA | relaxed

Geometry as CIF:
```
data_BTeN2
_cell_length_a 6.1122
_cell_length_b 6.1122
_cell_length_c 6.1122
_cell_angle_alpha 27.60
_cell_angle_beta 27.60
_cell_angle_gamma 27.60
_space_group_name_H-M_alt 'P 1'
_space_group_IT_number 1
loop_
_space_group_symop_operation_xyz
'x,y,z'
loop_
_atom_site_label
_atom_site_type_symbol
_atom_site_fract_x
_atom_site_fract_y
_atom_site_fract_z
B1 B 0.5000 0.5000 0.5000
Te1 Te 0.0000 0.0000 0.0000
N1 N 0.8796 0.8796 0.8796
N2 N 0.1204 0.1204 0.1204
```

Fermi-level density of states	1.09	states/eV/f.u.
size of the total moment	0.0	μB per cell
space-group type	No. 166

Winner for stability: one)

one) BTeN2 | PBE-GGA | relaxed

Geometry as CIF:
```
data_BTeN2
_cell_length_a 3.9004
_cell_length_b 3.9004
_cell_length_c 3.9004
_cell_angle_alpha 60.00
_cell_angle_beta 60.00
_cell_angle_gamma 60.00
_space_group_name_H-M_alt 'P 1'
_space_group_IT_number 1
loop_
_space_group_symop_operation_xyz
'x,y,z'
loop_
_atom_site_label
_atom_site_type_symbol
_atom_site_fract_x
_atom_site_fract_y
_atom_site_fract_z
B1 B 0.0000 0.0000 0.0000
Te1 Te 0.5000 0.5000 0.5000
N1 N 0.2500 0.2500 0.2500
N2 N 0.7500 0.7500 0.7500
```

Fermi-level density of states	1.21	states/eV/f.u.
size of the total moment	0.0	μB per cell
space-group type	No. 225

two) BTeN2 | PBE-GGA | relaxed

Geometry as CIF:
```
data_BTeN2
_cell_length_a 4.7443
_cell_length_b 4.7443
_cell_length_c 5.0573
_cell_angle_alpha 62.03
_cell_angle_beta 62.03
_cell_angle_gamma 90.00
_space_group_name_H-M_alt 'P 1'
_space_group_IT_number 1
loop_
_space_group_symop_operation_xyz
'x,y,z'
loop_
_atom_site_label
_atom_site_type_symbol
_atom_site_fract_x
_atom_site_fract_y
_atom_site_fract_z
B1 B 0.5000 0.5000 0.0000
B2 B 0.2500 0.7500 0.5000
Te1 Te 0.0000 0.0000 0.0000
Te2 Te 0.7500 0.2500 0.5000
N1 N 0.4820 0.1250 0.2500
N2 N 0.2680 0.6250 0.2500
N3 N 0.3750 0.5180 0.7500
N4 N 0.8750 0.7320 0.7500
```

Fermi-level density of states	1.24	states/eV/f.u.
size of the total moment	0.0	μB per cell
space-group type	No. 122

Winner for stability: two)

one) TlBTe2N | PBE-GGA | relaxed

Geometry as CIF:
```
data_TlBTe2N
_cell_length_a 6.9096
_cell_length_b 6.9096
_cell_length_c 2.7835
_cell_angle_alpha 90.00
_cell_angle_beta 90.00
_cell_angle_gamma 90.00
_space_group_name_H-M_alt 'P 1'
_space_group_IT_number 1
loop_
_space_group_symop_operation_xyz
'x,y,z'
loop_
_atom_site_label
_atom_site_type_symbol
_atom_site_fract_x
_atom_site_fract_y
_atom_site_fract_z
Tl1 Tl 0.5000 0.5000 0.5000
Te1 Te 0.0000 0.5000 0.0000
Te2 Te 0.5000 0.0000 0.0000
B1 B 0.0000 0.0000 0.0000
N1 N 0.0000 0.0000 0.5000
```

Fermi-level density of states	3.09	states/eV/f.u.
size of the total moment	0.0	μB per cell
space-group type	No. 123

two) TlBTe2N | PBE-GGA | relaxed

Geometry as CIF:
```
data_TlBTe2N
_cell_length_a 5.9323
_cell_length_b 5.9323
_cell_length_c 4.2375
_cell_angle_alpha 90.00
_cell_angle_beta 90.00
_cell_angle_gamma 90.00
_space_group_name_H-M_alt 'P 1'
_space_group_IT_number 1
loop_
_space_group_symop_operation_xyz
'x,y,z'
loop_
_atom_site_label
_atom_site_type_symbol
_atom_site_fract_x
_atom_site_fract_y
_atom_site_fract_z
Tl1 Tl 0.0000 0.0000 0.0000
Te1 Te 0.0000 0.5000 0.0000
Te2 Te 0.5000 0.0000 0.0000
B1 B 0.5000 0.5000 0.5000
N1 N 0.0000 0.0000 0.5000
```

Fermi-level density of states	4.30	states/eV/f.u.
size of the total moment	2.3	μB per cell
space-group type	No. 123

Winner for stability: one)